Material: AgMoPO2
Method: DFT, PBE+U
State: optimized geometry

a = 3.9982 Å, b = 3.9982 Å, c = 4.9145 Å
α = 90.00°, β = 90.00°, γ = 90.00°
Atoms (fractional coordinates):
1 Ag 0.0000 0.0000 0.0000
2 Mo 0.5000 0.5000 0.5000
3 P 0.0000 0.0000 0.5000
4 O 0.0000 0.5000 0.0000
5 O 0.5000 0.0000 0.0000

Summary:
For the total magnetization, the calculation gives 0.578 μB per atom. For the relative energy among the computed polymorphs, the calculation gives 6.31 eV per formula unit. As for the mass density: 5.6 Mg/m³. Its space group is P4/mmm (123).